Density functional theory data (meta-GGA SCAN) for BMo2AuC at its PBEsol-relaxed geometry.

Results
Symmetry   P4/mmm, No. 123
DFT total energy   -28.4428 eV/atom
Energy of formation from the pure elements   2849 meV per atom

```
BMo2AuC
1.0
3.639 0.000 0.000
0.000 4.993 0.000
0.000 0.000 4.993
Mo B Au C
2 1 1 1
direct
0.000 0.000 0.500
0.000 0.500 0.000
0.500 0.500 0.500
0.000 0.000 0.000
0.500 0.000 0.000
```

=====

Density functional theory data (meta-GGA SCAN) for CrPtSe at its PBEsol-relaxed geometry.

Results
Formation energy from raw total energies   0.050 eV/atom
Symmetry   I4mm, No. 107
DFT total energy   -36.1686 eV/atom

```
CrPtSe
1.0
2.800 0.000 0.000
0.000 2.800 0.000
-1.400 -1.400 5.872
Cr Pt Se
1 1 1
direct
0.007 0.007 0.013
0.362 0.362 0.725
0.631 0.631 0.262
```